DFT (PBE) results for a geometry-optimized Ni8Sb3 structure.

Cell and atoms, written as POSCAR:
```
Ni8Sb3
1.0
-1.924 -2.477 -4.631
5.102 1.240 -1.930
1.402 -4.658 2.762
Ni Sb
8 3
direct
0.692 0.937 0.031 Ni
0.354 0.354 0.354 Ni
0.937 0.031 0.692 Ni
0.969 0.308 0.063 Ni
0.646 0.646 0.646 Ni
0.031 0.692 0.937 Ni
0.063 0.969 0.308 Ni
0.308 0.063 0.969 Ni
0.500 0.500 0.000 Sb
0.000 0.500 0.500 Sb
0.500 0.000 0.500 Sb
```

Summary:
The calculated volume is 15.494 A^3/atom. Its uncorrected formation energy is 0.1991 eV per atom. Its space group is R-3, No. 148.

DFT (PBE) results for a geometry-optimized CdRuN2 structure.

Cell and atoms, written as POSCAR:
```
CdRuN2
1.0
0.855 -2.869 2.584
-2.318 -0.577 3.152
-2.288 -3.219 0.209
Ru N Cd
1 2 1
direct
0.000 0.000 0.000 Ru
0.750 0.750 0.750 N
0.250 0.250 0.250 N
0.500 0.500 0.500 Cd
```

Summary:
The calculated volume is 10.935 A^3/atom. Its uncorrected formation energy is 1.3476 eV per atom. Its space group is Fm-3m, No. 225.

DFT (PBE) results for a geometry-optimized NaH6O4 structure.

Cell and atoms, written as POSCAR:
```
NaH6O4
1.0
4.787 -0.183 -0.270
-2.376 4.160 0.270
-2.376 -1.279 3.968
O H Na
4 6 1
direct
0.000 0.581 0.156 O
0.425 0.844 0.844 O
0.575 0.419 0.419 O
0.000 0.156 0.581 O
0.500 0.000 0.500 H
0.401 0.448 0.448 H
0.000 0.953 0.552 H
0.000 0.552 0.953 H
0.500 0.500 0.000 H
0.599 0.047 0.047 H
0.000 0.000 0.000 Na
```

Summary:
The calculated volume is 6.869 A^3/atom. Its total DFT energy (no corrections) is -44.52 eV per cell. Its space group is I-42m, No. 121.

DFT (PBE) results for a geometry-optimized CuGe2Te6Au structure.

Cell and atoms, written as POSCAR:
```
CuGe2Te6Au
1.0
-0.116 -2.861 -6.501
-5.917 -7.038 1.540
-7.400 4.465 -3.496
Ge Te Au Cu
4 12 2 2
direct
0.783 0.226 0.398 Ge
0.717 0.602 0.774 Ge
0.217 0.774 0.602 Ge
0.283 0.398 0.226 Ge
0.395 0.524 0.714 Te
0.132 0.978 0.808 Te
0.868 0.022 0.192 Te
0.895 0.714 0.524 Te
0.368 0.192 0.022 Te
0.916 0.364 0.895 Te
0.632 0.808 0.978 Te
0.084 0.636 0.105 Te
0.105 0.286 0.476 Te
0.605 0.476 0.286 Te
0.584 0.105 0.636 Te
0.416 0.895 0.364 Te
0.750 0.103 0.897 Au
0.250 0.897 0.103 Au
0.250 0.250 0.750 Cu
0.750 0.750 0.250 Cu
```

Summary:
The calculated volume is 30.002 A^3/atom. Its uncorrected formation energy is 0.0555 eV per atom. Its space group is C2/c, No. 15.

DFT (PBE) results for a geometry-optimized SrCuSe2Br structure.

Cell and atoms, written as POSCAR:
```
SrCuSe2Br
1.0
4.783 0.000 0.000
0.000 4.783 0.000
0.000 0.000 5.565
Se Sr Br Cu
2 1 1 1
direct
0.500 0.000 0.000 Se
0.000 0.500 0.000 Se
0.500 0.500 0.500 Sr
0.000 0.000 0.500 Br
0.000 0.000 0.000 Cu
```

Summary:
The calculated volume is 25.459 A^3/atom. Its uncorrected formation energy is -0.7862 eV per atom. Its space group is P4/mmm, No. 123.

DFT (PBE) results for a geometry-optimized CsLa2As2 structure.

Cell and atoms, written as POSCAR:
```
CsLa2As2
1.0
5.691 0.000 0.000
0.000 5.691 0.000
2.845 2.845 6.341
La As Cs
2 2 1
direct
0.317 0.317 0.366 La
0.683 0.683 0.634 La
0.750 0.250 0.500 As
0.250 0.750 0.500 As
0.000 0.000 0.000 Cs
```

Summary:
The calculated volume is 41.072 A^3/atom. Its formation energy is -914.7 meV/atom. Its space group is I4/mmm, No. 139.